The following is a PBE calculation of TbSm3YHo after structural relaxation, from the Alexandria database.

Cell: 5.0739 10.1493 8.0310 Å, 90.00 108.34 90.00°
Last column: nearest neighbours and their distance in Å.
Fractional positions:
Tb1 0.0000 0.0000 0.0000  6 Sm 3.58, 2 Y 3.58, 4 Ho 3.59
Tb2 0.0000 0.5000 0.0000  6 Sm 3.58, 2 Y 3.58, 4 Ho 3.59
Sm1 0.1656 0.2500 0.3313  2 Tb 3.58, 2 Ho 3.58-3.59, 6 Sm 3.59-3.61, 2 Y 3.61
Sm2 0.3343 0.9998 0.6686  2 Tb 3.58, 2 Ho 3.58, 5 Sm 3.59-3.61, 3 Y 3.59-3.61
Sm3 0.3343 0.5002 0.6686  2 Tb 3.58, 2 Ho 3.58, 5 Sm 3.59-3.61, 3 Y 3.59-3.61
Sm4 0.6657 0.0002 0.3314  2 Tb 3.58, 2 Ho 3.58, 5 Sm 3.59-3.61, 3 Y 3.59-3.61
Sm5 0.6657 0.4998 0.3314  2 Tb 3.58, 2 Ho 3.58, 5 Sm 3.59-3.61, 3 Y 3.59-3.61
Sm6 0.8344 0.7500 0.6687  2 Tb 3.58, 2 Ho 3.58-3.59, 6 Sm 3.59-3.61, 2 Y 3.61
Y1 0.1656 0.7500 0.3314  2 Ho 3.58, 2 Tb 3.58, 8 Sm 3.59-3.61
Y2 0.8344 0.2500 0.6686  2 Ho 3.58, 2 Tb 3.58, 8 Sm 3.59-3.61
Ho1 0.4997 0.2500 0.9995  2 Y 3.58, 6 Sm 3.58-3.59, 4 Tb 3.59
Ho2 0.5003 0.7500 0.0005  2 Y 3.58, 6 Sm 3.58-3.59, 4 Tb 3.59

Properties
- Uncorrected energy: -4.9539 eV/atom
- Magnetic moment: 0.00 μB/atom
- ΔE_f: 0.018 eV per atom



The following is a PBE calculation of TbSmY2Ho after structural relaxation, from the Alexandria database.

Cell: 7.1095 7.1095 7.2167 Å, 90.00 90.00 107.35°
Last column: nearest neighbours and their distance in Å.
Fractional positions:
Tb1 0.0039 0.9961 0.7500  1 Sm 3.08, 4 Y 3.17, 1 Ho 3.18
Tb2 0.9961 0.0039 0.2500  1 Sm 3.08, 4 Y 3.17, 1 Ho 3.18
Sm1 0.2730 0.7270 0.7500  1 Tb 3.08
Sm2 0.7270 0.2730 0.2500  1 Tb 3.08
Y1 0.3099 0.3099 0.0000  2 Tb 3.17, 1 Y 3.20, 2 Ho 3.54, 2 Sm 3.55
Y2 0.3099 0.3099 0.5000  2 Tb 3.17, 1 Y 3.20, 2 Ho 3.54, 2 Sm 3.55
Y3 0.6901 0.6901 0.0000  2 Tb 3.17, 1 Y 3.20, 2 Ho 3.54, 2 Sm 3.55
Y4 0.6901 0.6901 0.5000  2 Tb 3.17, 1 Y 3.20, 2 Ho 3.54, 2 Sm 3.55
Ho1 0.2739 0.7261 0.2500  1 Tb 3.18, 4 Y 3.54
Ho2 0.7261 0.2739 0.7500  1 Tb 3.18, 4 Y 3.54

Properties
- Uncorrected energy: -4.9720 eV/atom
- Magnetic moment: 0.00 μB/atom
- ΔE_f: 0.399 eV per atom



The following is a PBE calculation of Tb2SmY6Ho3 after structural relaxation, from the Alexandria database.

Cell: 6.1681 6.1681 11.8021 Å, 94.98 94.98 119.94°
Last column: nearest neighbours and their distance in Å.
Fractional positions:
Tb1 0.1666 0.8334 0.0000  3 Tb 3.56, 3 Sm 3.56, 6 Y 3.57
Tb2 0.8334 0.1666 0.0000  3 Tb 3.56, 3 Sm 3.56, 6 Y 3.57
Sm1 0.5000 0.5000 0.0000  6 Tb 3.56, 6 Y 3.57-3.58
Y1 0.0821 0.4157 0.7486  3 Ho 3.54-3.55, 6 Y 3.56-3.57, 2 Tb 3.57, 1 Sm 3.58
Y2 0.2506 0.2506 0.2515  3 Ho 3.55, 6 Y 3.56-3.57, 1 Sm 3.57, 2 Tb 3.57
Y3 0.4157 0.0821 0.7486  3 Ho 3.54-3.55, 6 Y 3.56-3.57, 2 Tb 3.57, 1 Sm 3.58
Y4 0.5843 0.9179 0.2514  3 Ho 3.54-3.55, 6 Y 3.56-3.57, 2 Tb 3.57, 1 Sm 3.58
Y5 0.7494 0.7494 0.7485  3 Ho 3.55, 6 Y 3.56-3.57, 1 Sm 3.57, 2 Tb 3.57
Y6 0.9179 0.5843 0.2514  3 Ho 3.54-3.55, 6 Y 3.56-3.57, 2 Tb 3.57, 1 Sm 3.58
Ho1 0.0000 0.0000 0.5000  6 Y 3.55, 6 Ho 3.56
Ho2 0.3332 0.6668 0.5000  6 Y 3.54-3.55, 6 Ho 3.56
Ho3 0.6668 0.3332 0.5000  6 Y 3.54-3.55, 6 Ho 3.56

Properties
- Uncorrected energy: -5.5211 eV/atom
- Magnetic moment: 0.00 μB/atom
- ΔE_f: 0.020 eV per atom



The following is a PBE calculation of Tb6Sm2Y3Ho after structural relaxation, from the Alexandria database.

Cell: 6.1851 6.1851 11.8389 Å, 94.97 94.97 119.96°
Last column: nearest neighbours and their distance in Å.
Fractional positions:
Tb1 0.0839 0.4167 0.7504  6 Tb 3.56-3.58, 3 Y 3.57, 2 Sm 3.57-3.58, 1 Ho 3.57
Tb2 0.2488 0.2488 0.2494  3 Y 3.56-3.57, 6 Tb 3.57-3.58, 1 Ho 3.57, 2 Sm 3.58
Tb3 0.4167 0.0839 0.7504  6 Tb 3.56-3.58, 3 Y 3.57, 2 Sm 3.57-3.58, 1 Ho 3.57
Tb4 0.5833 0.9161 0.2496  6 Tb 3.56-3.58, 3 Y 3.57, 2 Sm 3.57-3.58, 1 Ho 3.57
Tb5 0.7512 0.7512 0.7506  3 Y 3.56-3.57, 6 Tb 3.57-3.58, 1 Ho 3.57, 2 Sm 3.58
Tb6 0.9161 0.5833 0.2496  6 Tb 3.56-3.58, 3 Y 3.57, 2 Sm 3.57-3.58, 1 Ho 3.57
Sm1 0.3333 0.6667 0.5000  3 Sm 3.57, 3 Ho 3.57, 6 Tb 3.57-3.58
Sm2 0.6667 0.3333 0.5000  3 Sm 3.57, 3 Ho 3.57, 6 Tb 3.57-3.58
Y1 0.1664 0.8336 0.0000  6 Tb 3.56-3.57, 6 Y 3.57
Y2 0.5000 0.5000 0.0000  6 Tb 3.57, 6 Y 3.57
Y3 0.8336 0.1664 0.0000  6 Tb 3.56-3.57, 6 Y 3.57
Ho1 0.0000 0.0000 0.5000  6 Sm 3.57, 6 Tb 3.57

Properties
- Uncorrected energy: -5.0832 eV/atom
- Magnetic moment: 0.00 μB/atom
- ΔE_f: 0.016 eV per atom



The following is a PBE calculation of Tb6SmYHo2 after structural relaxation, from the Alexandria database.

Cell: 8.8002 8.8002 9.5807 Å, 93.87 93.87 117.99°
Last column: nearest neighbours and their distance in Å.
Fractional positions:
Tb1 0.0191 0.5668 0.1827  3 Tb 3.21-3.57, 1 Ho 3.40, 1 Y 3.47, 1 Sm 3.58
Tb2 0.1210 0.7516 0.5558  7 Tb 3.39-3.75, 1 Ho 3.49, 1 Sm 3.68
Tb3 0.2484 0.8790 0.9442  7 Tb 3.39-3.75, 1 Ho 3.49, 1 Sm 3.68
Tb4 0.2916 0.5072 0.3797  4 Tb 3.21-3.55, 3 Ho 3.27-3.42, 2 Y 3.42-3.55
Tb5 0.4332 0.9809 0.3173  3 Tb 3.21-3.57, 1 Ho 3.40, 1 Y 3.47, 1 Sm 3.58
Tb6 0.4928 0.7084 0.1203  4 Tb 3.21-3.55, 3 Ho 3.27-3.42, 2 Y 3.42-3.55
Tb7 0.5072 0.2916 0.8797  4 Tb 3.21-3.55, 3 Ho 3.27-3.42, 2 Y 3.42-3.55
Tb8 0.5668 0.0191 0.6827  3 Tb 3.21-3.57, 1 Ho 3.40, 1 Y 3.47, 1 Sm 3.58
Tb9 0.7084 0.4928 0.6203  4 Tb 3.21-3.55, 3 Ho 3.27-3.42, 2 Y 3.42-3.55
Tb10 0.7516 0.1210 0.0558  7 Tb 3.39-3.75, 1 Ho 3.49, 1 Sm 3.68
Tb11 0.8790 0.2484 0.4442  7 Tb 3.39-3.75, 1 Ho 3.49, 1 Sm 3.68
Tb12 0.9809 0.4332 0.8173  3 Tb 3.21-3.57, 1 Ho 3.40, 1 Y 3.47, 1 Sm 3.58
Sm1 0.0251 0.9749 0.2500  4 Ho 3.40-3.41, 4 Tb 3.58-3.68
Sm2 0.9749 0.0251 0.7500  4 Ho 3.40-3.41, 4 Tb 3.58-3.68
Y1 0.4086 0.5914 0.7500  6 Tb 3.42-3.55, 2 Ho 3.54
Y2 0.5914 0.4086 0.2500  6 Tb 3.42-3.55, 2 Ho 3.54
Ho1 0.1984 0.3022 0.0448  6 Tb 3.27-3.60, 2 Sm 3.40-3.41, 1 Y 3.54
Ho2 0.3022 0.1984 0.5448  6 Tb 3.27-3.60, 2 Sm 3.40-3.41, 1 Y 3.54
Ho3 0.6978 0.8016 0.4552  6 Tb 3.27-3.60, 2 Sm 3.40-3.41, 1 Y 3.54
Ho4 0.8016 0.6978 0.9552  6 Tb 3.27-3.60, 2 Sm 3.40-3.41, 1 Y 3.54

Properties
- Uncorrected energy: -4.6949 eV/atom
- Magnetic moment: 0.00 μB/atom
- ΔE_f: 0.117 eV per atom



The following is a PBE calculation of TbSm2Y4Ho2 after structural relaxation, from the Alexandria database.

Cell: 9.5313 9.5313 9.5833 Å, 115.27 115.27 21.80°
Last column: nearest neighbours and their distance in Å.
Fractional positions:
Tb1 0.0000 0.0000 0.0000  6 Y 3.54, 4 Ho 3.60, 2 Tb 3.60
Sm1 0.1486 0.1486 0.6674  3 Ho 3.54-3.55, 7 Y 3.56-3.61, 2 Sm 3.60
Sm2 0.8514 0.8514 0.3326  3 Ho 3.54-3.55, 7 Y 3.56-3.61, 2 Sm 3.60
Y1 0.1849 0.1849 0.3326  2 Ho 3.54, 1 Tb 3.54, 3 Sm 3.56-3.60, 6 Y 3.56-3.60
Y2 0.4814 0.4814 0.6677  2 Tb 3.54, 1 Ho 3.55, 4 Sm 3.56-3.61, 5 Y 3.57-3.60
Y3 0.5186 0.5186 0.3323  2 Tb 3.54, 1 Ho 3.55, 4 Sm 3.56-3.61, 5 Y 3.57-3.60
Y4 0.8151 0.8151 0.6674  2 Ho 3.54, 1 Tb 3.54, 3 Sm 3.56-3.60, 6 Y 3.56-3.60
Ho1 0.3333 0.3333 0.9993  3 Sm 3.54-3.55, 3 Y 3.54-3.55, 2 Tb 3.60, 4 Ho 3.60-3.61
Ho2 0.6667 0.6667 0.0007  3 Sm 3.54-3.55, 3 Y 3.54-3.55, 2 Tb 3.60, 4 Ho 3.60-3.61

Properties
- Uncorrected energy: -5.4487 eV/atom
- Magnetic moment: 0.00 μB/atom
- ΔE_f: 0.005 eV per atom



> Among the records above, which one has the lowest ΔE_f?

TbSm2Y4Ho2